(1)
This record from Alexandria describes Ba2BeNi after structural relaxation. The functional is GGA-PBE.

Unit cell a=5.2732 b=5.2732 c=5.2732 alpha=60.00 beta=60.00 gamma=60.00
Element x y z (fractional)
1 Ba 0.0000 0.0000 0.0000
2 Ba 0.2500 0.2500 0.2500
3 Be 0.5000 0.5000 0.5000
4 Ni 0.7500 0.7500 0.7500

Summary:
Its space-group type is F-43m. Its raw total energy is -2.701 eV/atom.

---

(2)
This record from Alexandria describes DySc6S8 after structural relaxation. The functional is GGA-PBE.

Unit cell a=6.9787 b=6.9787 c=6.9787 alpha=92.58 beta=92.58 gamma=92.58
Element x y z (fractional)
1 Dy 0.0000 0.0000 0.0000
2 Sc 0.1899 0.5646 0.4003
3 Sc 0.4003 0.1899 0.5646
4 Sc 0.4354 0.5997 0.8101
5 Sc 0.5646 0.4003 0.1900
6 Sc 0.5997 0.8101 0.4354
7 Sc 0.8101 0.4354 0.5997
8 S 0.1389 0.3681 0.7238
9 S 0.2336 0.2336 0.2336
10 S 0.2762 0.8611 0.6319
11 S 0.3681 0.7238 0.1389
12 S 0.6319 0.2762 0.8611
13 S 0.7238 0.1389 0.3681
14 S 0.7664 0.7664 0.7664
15 S 0.8611 0.6319 0.2762

Summary:
Its formation energy from raw total energies is -1.62 eV per atom. Its space-group type is R-3. Its raw total energy is -6.664 eV/atom.

---

(3)
This record from Alexandria describes TmCrAs2Rh5 after structural relaxation. The functional is GGA-PBE.

Unit cell a=3.9267 b=3.9267 c=10.8196 alpha=90.00 beta=90.00 gamma=90.00
Element x y z (fractional)
1 Tm 0.0000 0.0000 0.0000
2 Cr 0.5000 0.5000 0.5000
3 As 0.5000 0.5000 0.2203
4 As 0.5000 0.5000 0.7797
5 Rh 0.0000 0.5000 0.3639
6 Rh 0.0000 0.5000 0.6361
7 Rh 0.5000 0.0000 0.3639
8 Rh 0.5000 0.0000 0.6361
9 Rh 0.5000 0.5000 0.0000

Summary:
Its space-group type is P4/mmm. Its raw total energy is -6.842 eV/atom.

---

(4)
This record from Alexandria describes K2MgCd3Sn4 after structural relaxation. The functional is GGA-PBE.

Unit cell a=4.7984 b=4.7984 c=12.8705 alpha=90.00 beta=90.00 gamma=90.00
Element x y z (fractional)
1 K 0.0000 0.5000 0.2473
2 K 0.5000 0.0000 0.7527
3 Mg 0.5000 0.5000 0.0000
4 Cd 0.0000 0.0000 0.0000
5 Cd 0.0000 0.5000 0.6458
6 Cd 0.5000 0.0000 0.3542
7 Sn 0.0000 0.0000 0.5000
8 Sn 0.0000 0.5000 0.8658
9 Sn 0.5000 0.0000 0.1342
10 Sn 0.5000 0.5000 0.5000

Summary:
Its space-group type is P-4m2. Its raw total energy is -2.429 eV/atom.